No. 1
Here is FeNiMo2 after structural relaxation from Alexandria via LeMat-Bulk. Energies are from GGA-PBEsol.

```
data_FeNiMo2
_chemical_formula_sum 'Fe1 Ni1 Mo2'
_space_group_name_H-M_alt 'P 1'
_space_group_IT_number 1
_cell_length_a 3.704
_cell_length_b 3.704
_cell_length_c 3.672
_cell_angle_alpha 90.00
_cell_angle_beta 90.00
_cell_angle_gamma 90.00
loop_
_space_group_symop_operation_xyz
'x,y,z'
loop_
_atom_site_label
_atom_site_type_symbol
_atom_site_fract_x
_atom_site_fract_y
_atom_site_fract_z
Fe1 Fe 0.000 0.000 0.000
Ni1 Ni 0.500 0.500 0.000
Mo1 Mo 0.000 0.500 0.500
Mo2 Mo 0.500 0.000 0.500
```

- DFT formation energy: 2.2 kJ per mole of atoms

***

No. 2
Here is K4MnO4 after structural relaxation from Alexandria via LeMat-Bulk. Energies are from GGA-PBEsol.

```
data_K4MnO4
_chemical_formula_sum 'K8 Mn2 O8'
_space_group_name_H-M_alt 'P 1'
_space_group_IT_number 1
_cell_length_a 6.226
_cell_length_b 6.416
_cell_length_c 9.213
_cell_angle_alpha 79.51
_cell_angle_beta 71.77
_cell_angle_gamma 67.68
loop_
_space_group_symop_operation_xyz
'x,y,z'
loop_
_atom_site_label
_atom_site_type_symbol
_atom_site_fract_x
_atom_site_fract_y
_atom_site_fract_z
K1 K 0.011 0.277 0.437
K2 K 0.085 0.761 0.152
K3 K 0.273 0.256 0.035
K4 K 0.462 0.226 0.625
K5 K 0.538 0.774 0.375
K6 K 0.727 0.744 0.965
K7 K 0.915 0.239 0.848
K8 K 0.989 0.723 0.563
Mn1 Mn 0.344 0.739 0.751
Mn2 Mn 0.656 0.261 0.249
O1 O 0.177 0.551 0.810
O2 O 0.203 0.963 0.628
O3 O 0.327 0.915 0.887
O4 O 0.367 0.456 0.336
O5 O 0.633 0.544 0.664
O6 O 0.673 0.085 0.113
O7 O 0.797 0.037 0.372
O8 O 0.823 0.449 0.190
```

- ΔE_f (raw): -1.523 eV per atom

***

No. 3
Here is Ba2RhPb after structural relaxation from Alexandria via LeMat-Bulk. Energies are from GGA-PBEsol.

```
data_Ba2RhPb
_chemical_formula_sum 'Ba2 Rh1 Pb1'
_space_group_name_H-M_alt 'P 1'
_space_group_IT_number 1
_cell_length_a 9.613
_cell_length_b 9.613
_cell_length_c 9.613
_cell_angle_alpha 24.73
_cell_angle_beta 24.73
_cell_angle_gamma 24.73
loop_
_space_group_symop_operation_xyz
'x,y,z'
loop_
_atom_site_label
_atom_site_type_symbol
_atom_site_fract_x
_atom_site_fract_y
_atom_site_fract_z
Ba1 Ba 0.233 0.233 0.233
Ba2 Ba 0.767 0.767 0.767
Rh1 Rh 0.500 0.500 0.500
Pb1 Pb 0.000 0.000 0.000
```

- DFT formation energy: -1.5 kJ per mole of atoms

***

No. 4
Here is LiCa2CuN2 after structural relaxation from Alexandria via LeMat-Bulk. Energies are from GGA-PBEsol.

```
data_LiCa2CuN2
_chemical_formula_sum 'Li2 Ca4 Cu2 N4'
_space_group_name_H-M_alt 'P 1'
_space_group_IT_number 1
_cell_length_a 5.243
_cell_length_b 5.243
_cell_length_c 6.528
_cell_angle_alpha 90.00
_cell_angle_beta 90.00
_cell_angle_gamma 90.00
loop_
_space_group_symop_operation_xyz
'x,y,z'
loop_
_atom_site_label
_atom_site_type_symbol
_atom_site_fract_x
_atom_site_fract_y
_atom_site_fract_z
Li1 Li 0.000 0.000 0.000
Li2 Li 0.500 0.500 0.500
Ca1 Ca 0.000 0.500 0.250
Ca2 Ca 0.000 0.500 0.750
Ca3 Ca 0.500 0.000 0.250
Ca4 Ca 0.500 0.000 0.750
Cu1 Cu 0.000 0.000 0.500
Cu2 Cu 0.500 0.500 0.000
N1 N 0.248 0.248 0.500
N2 N 0.252 0.748 0.000
N3 N 0.748 0.252 0.000
N4 N 0.752 0.752 0.500
```

- ΔE_f (raw): -0.724 eV per atom

***

No. 5
Here is Fe2PtRh after structural relaxation from Alexandria via LeMat-Bulk. Energies are from GGA-PBEsol.

```
data_Fe2PtRh
_chemical_formula_sum 'Fe2 Pt1 Rh1'
_space_group_name_H-M_alt 'P 1'
_space_group_IT_number 1
_cell_length_a 4.499
_cell_length_b 4.499
_cell_length_c 4.499
_cell_angle_alpha 130.44
_cell_angle_beta 130.44
_cell_angle_gamma 72.70
loop_
_space_group_symop_operation_xyz
'x,y,z'
loop_
_atom_site_label
_atom_site_type_symbol
_atom_site_fract_x
_atom_site_fract_y
_atom_site_fract_z
Fe1 Fe 0.250 0.750 0.500
Fe2 Fe 0.750 0.250 0.500
Pt1 Pt 0.000 0.000 0.000
Rh1 Rh 0.500 0.500 0.000
```

- DFT formation energy: -7.7 kJ per mole of atoms

***

No. 6
Here is GeS2Br after structural relaxation from Alexandria via LeMat-Bulk. Energies are from GGA-PBEsol.

```
data_GeS2Br
_chemical_formula_sum 'Ge2 S4 Br2'
_space_group_name_H-M_alt 'P 1'
_space_group_IT_number 1
_cell_length_a 6.191
_cell_length_b 6.191
_cell_length_c 6.191
_cell_angle_alpha 112.80
_cell_angle_beta 112.80
_cell_angle_gamma 103.00
loop_
_space_group_symop_operation_xyz
'x,y,z'
loop_
_atom_site_label
_atom_site_type_symbol
_atom_site_fract_x
_atom_site_fract_y
_atom_site_fract_z
Ge1 Ge 0.000 0.000 0.000
Ge2 Ge 0.750 0.250 0.500
S1 S 0.045 0.125 0.420
S2 S 0.375 0.955 0.080
S3 S 0.705 0.625 0.580
S4 S 0.875 0.295 0.920
Br1 Br 0.250 0.750 0.500
Br2 Br 0.500 0.500 0.000
```

- ΔE_f (raw): 0.096 eV per atom